PrIn3Cu: relaxed, GGA-PBE.

Calculated values
Formation enthalpy at 0 K ... -0.31 eV/atom
Calculated volume ... 475.2 Å³/cell
Crystal system ... orthorhombic

Cell: 9.049 4.515 11.629 Å, 90.00 90.00 90.00°
Fractional coordinates of all 20 atoms:
Pr 0.186 0.250 0.004
Pr 0.314 0.750 0.504
Pr 0.686 0.250 0.496
Pr 0.814 0.750 0.996
In 0.065 0.250 0.586
In 0.116 0.750 0.799
In 0.136 0.750 0.211
In 0.364 0.250 0.711
In 0.384 0.250 0.299
In 0.435 0.750 0.086
In 0.565 0.250 0.914
In 0.616 0.750 0.701
In 0.636 0.750 0.289
In 0.864 0.250 0.789
In 0.884 0.250 0.201
In 0.935 0.750 0.414
Cu 0.100 0.250 0.357
Cu 0.400 0.750 0.857
Cu 0.600 0.250 0.143
Cu 0.900 0.750 0.643